Computed, not measured: Li2InTe at its PBEsol-relaxed geometry at the SCAN level of DFT.

a = 4.606 Å, b = 4.606 Å, c = 4.070 Å
α = 90.00°, β = 90.00°, γ = 90.00°
Element x y z (fractional)
Li 0.000 0.500 0.000
Li 0.500 0.000 0.000
In 0.000 0.000 0.500
Te 0.500 0.500 0.500

## Properties
The uncorrected formation energy is -575 meV/atom. The polymorph energy (0 for the lowest one) is 0.0 meV/atom. The space group is P4/mmm (123).